Entry from the Alexandria database: ReNiCl2 after structural relaxation (PBE).

Properties
- E: -4.793 eV per atom
- Symmetry: Imm2, No. 44
- Polymorph energy (0 for the lowest one): 616.5 meV per atom
- Formation energy without anion corrections: 15.87 kcal/mol of atoms

Lattice parameters (Å, degrees): 6.261 6.261 6.261 153.48 138.75 49.71
Last column: magnetic moment on the atom in μB.
Sites, in units of the cell vectors:
Ni (0.427, 0.427, 0.000)  0.59
Re (0.252, 0.752, 0.500)  0.96
Cl (0.760, 0.260, 0.500)  0.02
Cl (0.060, 0.060, 0.000)  0.02